DFT (GGA-PBE) results for a relaxed Hf2TeSe crystal.

Energy relative to the elements, uncorrected: -0.188 eV per atom
Theoretical density: 8.4 g/cm3
Distance to the lowest polymorph of the same formula: 499 meV/atom

Cell lengths 5.222, 5.222, 16.300 Å; angles 90.00, 90.00, 90.00 degrees
Space group I-42d (No. 122)
Symmetry-distinct sites (fractional):
1 Hf 0.192 0.250 0.125 (multiplicity 8)
2 Te 0.000 0.000 0.500 (multiplicity 4)
3 Se 0.000 0.000 0.000 (multiplicity 4)